First-principles (PBE-GGA) data for SrCa2Rh after structural relaxation, as listed in Alexandria.

```
4
Lattice="5.919 -1.987 0.000 5.919 1.987 0.000 -3.375 0.000 5.856" Properties=species:S:1:pos:R:3 pbc="T T T"
Sr 0.000 0.000 0.000
Ca -0.223 0.000 4.041
Ca 3.073 0.000 2.005
Rh 8.417 0.000 0.043
```

Energy of formation: -185 meV per atom
Energy above the most stable polymorph in this dataset: 101.8 meV/atom
Uncorrected energy: -3.444 eV/atom